VAgAs2 after structural relaxation, computed with GGA-PBE.

Properties
Space group   Fm-3m
Calculated formation energy   0.9 eV per formula unit

```
4
Lattice="-2.370 -3.919 0.527 -4.530 0.141 0.844 -2.992 -1.339 -3.242" Properties=species:S:1:pos:R:3 pbc="T T T"
As -7.419 -3.838 -1.403
V 0.000 0.000 0.000
Ag -4.946 -2.559 -0.935
As -2.473 -1.279 -0.468
```

VAgAs2 after structural relaxation, computed with GGA-PBE.

Properties
Space group   R-3m
Calculated formation energy   -0.7 eV per formula unit

```
4
Lattice="-1.815 0.595 -2.489 -0.031 -1.985 -2.429 -7.042 -4.822 2.006" Properties=species:S:1:pos:R:3 pbc="T T T"
V -4.444 -3.106 -1.456
As -3.773 -2.696 -3.825
Ag 0.000 0.000 0.000
As -5.116 -3.515 0.913
```

VAgAs3 after structural relaxation, computed with GGA-PBE.

Properties
Space group   Pm-3m
ΔE to the lowest computed polymorph   0 meV/atom
Calculated formation energy   1.5 eV per formula unit

```
5
Lattice="4.752 0.000 0.000 0.000 4.752 0.000 0.000 0.000 4.752" Properties=species:S:1:pos:R:3 pbc="T T T"
As 2.376 0.000 0.000
Ag 2.376 2.376 2.376
As 0.000 0.000 2.376
V 0.000 0.000 0.000
As 0.000 2.376 0.000
```

VAg2As2 after structural relaxation, computed with GGA-PBE.

Properties
Space group   P4/mbm
Calculated formation energy   0.5 eV per formula unit

```
10
Lattice="-0.402 -5.345 3.491 5.960 0.939 2.125 -1.696 2.510 3.648" Properties=species:S:1:pos:R:3 pbc="T T T"
Ag 0.470 0.084 3.243
V 2.779 -2.203 2.808
As 0.560 -3.275 2.514
Ag 3.391 -1.979 6.020
Ag 3.459 0.673 4.227
As 2.109 -0.390 1.249
Ag 0.402 -2.568 5.036
V 0.000 0.000 0.000
As 4.998 -1.130 3.102
As 3.449 -4.015 4.367
```

VAgAs2 after structural relaxation, computed with GGA-PBE.

Properties
Space group   I-42d
Calculated formation energy   0.8 eV per formula unit

```
8
Lattice="5.851 0.000 0.000 0.000 5.851 0.000 2.926 2.926 5.579" Properties=species:S:1:pos:R:3 pbc="T T T"
V 2.926 5.851 2.790
As 4.165 1.463 1.395
As 4.389 4.612 4.185
V 2.926 2.926 0.000
Ag 0.000 0.000 0.000
As 7.314 7.091 4.185
As 1.686 4.389 1.395
Ag 5.851 2.926 2.790
```

ZrVAgAs2 after structural relaxation, computed with GGA-PBE.

Properties
Space group   P4/mmm
Calculated formation energy   5.0 eV per formula unit

```
5
Lattice="5.080 0.000 0.000 0.000 5.230 0.000 0.000 0.000 5.080" Properties=species:S:1:pos:R:3 pbc="T T T"
As 2.540 0.000 0.000
Ag 0.000 2.615 0.000
As 0.000 0.000 2.540
V 2.540 2.615 2.540
Zr 0.000 0.000 0.000
```

AgAs2W after structural relaxation, computed with GGA-PBE.

Properties
Space group   P4mm
ΔE to the lowest computed polymorph   328 meV/atom
Calculated formation energy   1.8 eV per formula unit

```
4
Lattice="-1.213 -2.757 -0.157 1.472 -0.501 -2.585 6.310 -3.013 4.175" Properties=species:S:1:pos:R:3 pbc="T T T"
W 3.053 -1.458 2.020
As 2.041 -2.542 -0.106
Ag 4.775 -3.847 1.703
As 6.164 -2.943 4.078
```

Ag2AsW after structural relaxation, computed with GGA-PBE.

Properties
Space group   P2/m
Calculated formation energy   2.2 eV per formula unit

```
4
Lattice="4.872 0.000 0.000 0.000 2.815 0.048 0.000 1.521 5.073" Properties=species:S:1:pos:R:3 pbc="T T T"
Ag 0.000 0.410 0.036
Ag 0.000 1.758 2.525
As 2.436 1.084 1.280
W 2.436 3.252 3.841
```